Entry 1:
The following is a PBE calculation of an optimized crystal structure of FeTc2IrPt, from Alexandria via LeMat-Bulk.

Energy relative to the elements, kcal/mol of atoms: 45.7
Mass density, g cm⁻³: 10.68
Symmetry: No. 123
E, eV/atom: -6.84

abc: 4.682 4.682 4.534
angles: 90.00 90.00 90.00
Sites, in units of the cell vectors:
Fe (0.000, 0.000, 0.000)
Tc (0.000, 0.500, 0.500)
Tc (0.500, 0.000, 0.500)
Ir (0.500, 0.500, 0.000)
Pt (0.000, 0.000, 0.500)



Entry 2:
The following is a PBE calculation of an optimized crystal structure of TiFeIrPt, from Alexandria via LeMat-Bulk.

Energy relative to the elements, kcal/mol of atoms: -10.1
Mass density, g cm⁻³: 13.86
Symmetry: No. 216
E, eV/atom: -8.25

abc: 4.365 4.365 4.365
angles: 60.00 60.00 60.00
Sites, in units of the cell vectors:
Ti (0.000, 0.000, 0.000)
Fe (0.500, 0.500, 0.500)
Ir (0.250, 0.250, 0.250)
Pt (0.750, 0.750, 0.750)



Entry 3:
The following is a PBE calculation of an optimized crystal structure of Ti5Fe2IrPt2, from Alexandria via LeMat-Bulk.

Energy relative to the elements, kcal/mol of atoms: -10.7
Mass density, g cm⁻³: 10.21
Symmetry: No. 127
E, eV/atom: -8.20

abc: 10.182 10.182 2.927
angles: 90.00 90.00 90.00
Sites, in units of the cell vectors:
Ti (0.000, 0.500, 0.000)
Ti (0.084, 0.198, 0.000)
Ti (0.198, 0.916, 0.000)
Ti (0.302, 0.416, 0.000)
Ti (0.416, 0.698, 0.000)
Ti (0.500, 0.000, 0.000)
Ti (0.584, 0.302, 0.000)
Ti (0.698, 0.584, 0.000)
Ti (0.802, 0.084, 0.000)
Ti (0.916, 0.802, 0.000)
Fe (0.130, 0.370, 0.500)
Fe (0.370, 0.870, 0.500)
Fe (0.630, 0.130, 0.500)
Fe (0.870, 0.630, 0.500)
Ir (0.000, 0.000, 0.500)
Ir (0.500, 0.500, 0.500)
Pt (0.169, 0.669, 0.500)
Pt (0.331, 0.169, 0.500)
Pt (0.669, 0.831, 0.500)
Pt (0.831, 0.331, 0.500)



Entry 4:
The following is a PBE calculation of an optimized crystal structure of Ti5FeIr2Pt2, from Alexandria via LeMat-Bulk.

Energy relative to the elements, kcal/mol of atoms: -12.0
Mass density, g cm⁻³: 10.99
Symmetry: No. 127
E, eV/atom: -8.29

abc: 10.575 10.575 2.890
angles: 90.00 90.00 90.00
Sites, in units of the cell vectors:
Ti (0.000, 0.500, 0.000)
Ti (0.131, 0.150, 0.000)
Ti (0.150, 0.869, 0.000)
Ti (0.350, 0.369, 0.000)
Ti (0.369, 0.650, 0.000)
Ti (0.500, 0.000, 0.000)
Ti (0.631, 0.350, 0.000)
Ti (0.650, 0.631, 0.000)
Ti (0.850, 0.131, 0.000)
Ti (0.869, 0.850, 0.000)
Fe (0.000, 0.000, 0.500)
Fe (0.500, 0.500, 0.500)
Ir (0.147, 0.353, 0.500)
Ir (0.353, 0.853, 0.500)
Ir (0.647, 0.147, 0.500)
Ir (0.853, 0.647, 0.500)
Pt (0.153, 0.653, 0.500)
Pt (0.347, 0.153, 0.500)
Pt (0.653, 0.847, 0.500)
Pt (0.847, 0.347, 0.500)